CePu2Hg after structural relaxation. Source: Alexandria, functional PBE-GGA.

Summary:
Formation enthalpy at 0 K ... 13 kJ/mol of formula units
M_tot ... 3.5301 μB/atom

a b c (Å): 4.0169 4.0169 6.7229
angles (deg): 90.00 90.00 90.00
Atoms (fractional coordinates):
1 Ce 0.5000 0.5000 0.5000
2 Pu 0.0000 0.0000 0.2414
3 Pu 0.0000 0.0000 0.7586
4 Hg 0.5000 0.5000 0.0000



Tl3MoAs after structural relaxation. Source: Alexandria, functional PBE-GGA.

Summary:
Formation enthalpy at 0 K ... 563 kJ/mol of formula units
M_tot ... 0.9786 μB/atom

a b c (Å): 5.5860 5.5860 5.5860
angles (deg): 90.00 90.00 90.00
Atoms (fractional coordinates):
1 As 0.0000 0.0000 0.0000
2 Tl 0.0000 0.5000 0.0000
3 Tl 0.5000 0.0000 0.0000
4 Tl 0.0000 0.0000 0.5000
5 Mo 0.5000 0.5000 0.5000



MgAgHg after structural relaxation. Source: Alexandria, functional PBE-GGA.

Summary:
Formation enthalpy at 0 K ... -39 kJ/mol of formula units
M_tot ... 0.0000 μB/atom

a b c (Å): 4.8264 4.8264 5.8391
angles (deg): 90.00 90.00 61.77
Atoms (fractional coordinates):
1 Ag 0.0000 0.5000 0.0000
2 Hg 0.6716 0.1716 0.2500
3 Hg 0.3284 0.8284 0.7500
4 Ag 0.0000 0.5000 0.5000
5 Mg 0.6662 0.1662 0.7500
6 Mg 0.3338 0.8338 0.2500



Rb2DyHF6 after structural relaxation. Source: Alexandria, functional PBE-GGA.

Summary:
Total DFT energy (no corrections) ... -5.142 eV per atom
M_tot ... 0.0196 μB/atom

a b c (Å): 6.0570 6.0517 7.0579
angles (deg): 54.42 54.41 69.09
Atoms (fractional coordinates):
1 Dy 0.0000 0.0000 0.0000
2 F 0.3309 0.6694 0.0000
3 F 0.6691 0.3306 0.0000
4 Rb 0.2503 0.7502 0.4995
5 F 0.2150 0.2152 0.5698
6 H 0.5000 0.5000 0.0000
7 F 0.7850 0.7848 0.4302
8 F 0.7848 0.7844 0.9999
9 Rb 0.7497 0.2498 0.5005
10 F 0.2152 0.2156 0.0001



AgRu2Pb after structural relaxation. Source: Alexandria, functional PBE-GGA.

Summary:
Formation enthalpy at 0 K ... 235 kJ/mol of formula units
M_tot ... 0.0397 μB/atom

a b c (Å): 4.5610 4.5610 3.2722
angles (deg): 90.00 90.00 90.00
Atoms (fractional coordinates):
1 Ag 0.5000 0.0000 0.5000
2 Ru 0.5000 0.5000 0.0000
3 Ru 0.0000 0.0000 0.0000
4 Pb 0.0000 0.5000 0.5000



LiCrPt after structural relaxation. Source: Alexandria, functional PBE-GGA.

Summary:
Formation enthalpy at 0 K ... -34 kJ/mol of formula units
M_tot ... 0.0000 μB/atom

a b c (Å): 4.5703 4.5856 4.8655
angles (deg): 63.80 79.22 61.81
Atoms (fractional coordinates):
1 Cr 0.5568 0.2699 0.1801
2 Pt 0.7829 0.1048 0.7127
3 Li 0.1128 0.4154 0.7640
4 Li 0.8872 0.5846 0.2360
5 Pt 0.2171 0.8952 0.2873
6 Cr 0.4432 0.7301 0.8199



ScAl2Os after structural relaxation. Source: Alexandria, functional PBE-GGA.

Summary:
Formation enthalpy at 0 K ... -122 kJ/mol of formula units
M_tot ... 0.0000 μB/atom

a b c (Å): 5.1626 5.1626 5.1626
angles (deg): 141.86 129.54 64.97
Atoms (fractional coordinates):
1 Al 0.7358 0.2358 0.5000
2 Os 0.5038 0.5038 0.0000
3 Sc 0.2640 0.7640 0.5000
4 Al 0.9964 0.9964 0.0000



SiNiBr3 after structural relaxation. Source: Alexandria, functional PBE-GGA.

Summary:
Uncorrected formation energy ... 0.268 eV/atom
M_tot ... 0.0832 μB/atom

a b c (Å): 4.8925 4.8925 4.8925
angles (deg): 90.00 90.00 90.00
Atoms (fractional coordinates):
1 Br 0.5000 0.0000 0.0000
2 Ni 0.0000 0.0000 0.0000
3 Si 0.5000 0.5000 0.5000
4 Br 0.0000 0.0000 0.5000
5 Br 0.0000 0.5000 0.0000



TbAu3 after structural relaxation. Source: Alexandria, functional PBE-GGA.

Summary:
Formation enthalpy at 0 K ... -258 kJ/mol of formula units
M_tot ... 0.0000 μB/atom

a b c (Å): 4.5685 4.5685 5.0961
angles (deg): 116.63 116.63 90.00
Atoms (fractional coordinates):
1 Au 0.2500 0.7500 0.5000
2 Tb 0.0000 0.0000 0.0000
3 Au 0.7500 0.2500 0.5000
4 Au 0.5000 0.5000 0.0000



Li2CdH after structural relaxation. Source: Alexandria, functional PBE-GGA.

Summary:
Total DFT energy (no corrections) ... -2.142 eV per atom
M_tot ... 0.0000 μB/atom

a b c (Å): 2.8200 2.8200 7.2271
angles (deg): 90.00 90.00 90.00
Atoms (fractional coordinates):
1 Li 0.0000 0.0000 0.8229
2 Cd 0.5000 0.5000 0.5000
3 Li 0.0000 0.0000 0.1771
4 H 0.5000 0.5000 0.0000



LiThNi4 after structural relaxation. Source: Alexandria, functional PBE-GGA.

Summary:
Formation enthalpy at 0 K ... -219 kJ/mol of formula units
M_tot ... 0.0000 μB/atom

a b c (Å): 4.9616 4.9616 4.9616
angles (deg): 60.00 60.00 60.00
Atoms (fractional coordinates):
1 Ni 0.6263 0.6263 0.1211
2 Th 0.2500 0.2500 0.2500
3 Ni 0.1211 0.6263 0.6263
4 Li 0.0000 0.0000 0.0000
5 Ni 0.6263 0.6263 0.6263
6 Ni 0.6263 0.1211 0.6263



Sr2AlAs after structural relaxation. Source: Alexandria, functional PBE-GGA.

Summary:
Formation enthalpy at 0 K ... -204 kJ/mol of formula units
M_tot ... 0.0000 μB/atom

a b c (Å): 6.6454 6.6454 5.0294
angles (deg): 67.81 67.81 34.93
Atoms (fractional coordinates):
1 As 0.2035 0.2035 0.2955
2 Sr 0.9829 0.9829 0.0174
3 Sr 0.7589 0.7589 0.7408
4 Al 0.5546 0.5546 0.4463



Pr11Y9Ho4 after structural relaxation. Source: Alexandria, functional PBE-GGA.

Summary:
Formation enthalpy at 0 K ... 111 kJ/mol of formula units
M_tot ... 0.0001 μB/atom

a b c (Å): 3.6898 15.5593 15.5593
angles (deg): 113.14 90.00 90.00
Atoms (fractional coordinates):
1 Pr 0.0000 0.3688 0.6312
2 Y 0.5000 0.6304 0.1657
3 Y 0.5000 0.5000 0.5000
4 Y 0.5000 0.7859 0.9314
5 Y 0.5000 0.1657 0.6304
6 Ho 0.5000 0.2412 0.4447
7 Ho 0.5000 0.4447 0.2412
8 Y 0.5000 0.8343 0.3696
9 Y 0.5000 0.9314 0.7859
10 Ho 0.5000 0.5553 0.7588
11 Y 0.5000 0.2141 0.0686
12 Pr 0.0000 0.5943 0.9563
13 Pr 0.0000 0.0000 0.0000
14 Pr 0.0000 0.4057 0.0437
15 Y 0.5000 0.3696 0.8343
16 Pr 0.0000 0.6312 0.3688
17 Pr 0.0000 0.7066 0.7066
18 Pr 0.0000 0.0437 0.4057
19 Pr 0.0000 0.9563 0.5943
20 Pr 0.0000 0.8398 0.1602
21 Pr 0.0000 0.1602 0.8398
22 Y 0.5000 0.0686 0.2141
23 Ho 0.5000 0.7588 0.5553
24 Pr 0.0000 0.2934 0.2934



K2Bi2SbO6 after structural relaxation. Source: Alexandria, functional PBE-GGA.

Summary:
Uncorrected formation energy ... -1.244 eV/atom
M_tot ... 0.0715 μB/atom

a b c (Å): 6.0232 6.0800 7.0577
angles (deg): 113.34 90.00 119.69
Atoms (fractional coordinates):
1 Bi 0.0801 0.1602 0.2957
2 Sb 0.5000 0.0000 0.5000
3 K 0.6920 0.3840 0.1005
4 O 0.3205 0.6410 0.5315
5 Bi 0.9199 0.8398 0.7043
6 O 0.6663 0.8494 0.2708
7 O 0.8169 0.1506 0.7292
8 O 0.6795 0.3590 0.4685
9 K 0.3080 0.6160 0.8995
10 O 0.3337 0.1506 0.7292
11 O 0.1831 0.8494 0.2708



Ba2TeAsPd6 after structural relaxation. Source: Alexandria, functional PBE-GGA.

Summary:
Uncorrected formation energy ... -0.636 eV/atom
M_tot ... 0.0000 μB/atom

a b c (Å): 6.7965 7.1103 6.7908
angles (deg): 61.64 59.96 90.01
Atoms (fractional coordinates):
1 Pd 0.8309 0.3442 0.9112
2 Pd 0.2569 0.3434 0.4865
3 Ba 0.7214 0.1636 0.5572
4 Ba 0.2786 0.8364 0.4428
5 Pd 0.7431 0.6566 0.5135
6 Pd 0.2570 0.3446 0.9117
7 Pd 0.7430 0.6554 0.0883
8 Pd 0.1691 0.6558 0.0888
9 As 0.5000 0.5000 0.0000
10 Te 0.0000 0.0000 0.0000



CuReRu2 after structural relaxation. Source: Alexandria, functional PBE-GGA.

Summary:
Formation enthalpy at 0 K ... 72 kJ/mol of formula units
M_tot ... 0.0000 μB/atom

a b c (Å): 3.8721 2.7152 5.9169
angles (deg): 62.65 90.00 90.00
Atoms (fractional coordinates):
1 Ru 0.5000 0.2313 0.2679
2 Re 0.5000 0.7562 0.7450
3 Ru 0.0000 0.0073 0.9919
4 Cu 0.0000 0.5052 0.4952



NbTl2SiBi after structural relaxation. Source: Alexandria, functional PBE-GGA.

Summary:
Uncorrected formation energy ... 1.773 eV/atom
M_tot ... 0.0422 μB/atom

a b c (Å): 5.8240 5.3496 5.8240
angles (deg): 90.00 90.00 90.00
Atoms (fractional coordinates):
1 Nb 0.5000 0.5000 0.5000
2 Tl 0.5000 0.0000 0.0000
3 Si 0.0000 0.5000 0.0000
4 Tl 0.0000 0.0000 0.5000
5 Bi 0.0000 0.0000 0.0000



EuLuCuAg after structural relaxation. Source: Alexandria, functional PBE-GGA.

Summary:
Formation enthalpy at 0 K ... -69 kJ/mol of formula units
M_tot ... 1.7521 μB/atom

a b c (Å): 5.0875 5.0875 5.0875
angles (deg): 60.00 60.00 60.00
Atoms (fractional coordinates):
1 Ag 0.7500 0.7500 0.7500
2 Eu 0.0000 0.0000 0.0000
3 Cu 0.2500 0.2500 0.2500
4 Lu 0.5000 0.5000 0.5000



PmThRh2 after structural relaxation. Source: Alexandria, functional PBE-GGA.

Summary:
Formation enthalpy at 0 K ... -269 kJ/mol of formula units
M_tot ... 0.0000 μB/atom

a b c (Å): 4.0133 4.0133 7.3777
angles (deg): 74.22 74.22 60.00
Atoms (fractional coordinates):
1 Rh 0.0805 0.0805 0.7584
2 Pm 0.4968 0.4968 0.5097
3 Rh 0.2536 0.2536 0.2392
4 Th 0.6691 0.6691 0.9927



NbPb2O6 after structural relaxation. Source: Alexandria, functional PBE-GGA.

Summary:
Uncorrected formation energy ... -1.330 eV/atom
M_tot ... 0.0000 μB/atom

a b c (Å): 3.3915 5.9019 5.9019
angles (deg): 120.00 90.00 90.00
Atoms (fractional coordinates):
1 Pb 0.5000 0.6667 0.3333
2 O 0.0000 0.6263 0.6263
3 O 0.5000 0.2386 0.2386
4 O 0.0000 0.3737 0.0000
5 Nb 0.0000 0.0000 0.0000
6 Pb 0.5000 0.3333 0.6667
7 O 0.5000 0.7614 0.0000
8 O 0.0000 0.0000 0.3737
9 O 0.5000 0.0000 0.7614